Ba2CdGe3Pt4: relaxed, PBE.

```
Ba2CdGe3Pt4
1.0
4.602 0.000 0.000
0.000 4.602 0.000
0.000 0.000 10.459
Ba Cd Ge Pt
2 1 3 4
direct
0.000 0.500 0.248
0.500 0.000 0.752
0.000 0.000 0.500
0.000 0.500 0.885
0.500 0.000 0.115
0.500 0.500 0.500
0.000 0.000 0.000
0.000 0.500 0.641
0.500 0.000 0.359
0.500 0.500 0.000
```

## Properties
The total magnetic moment is 0.00 μB/f.u. The value obtained for the total DFT energy (no corrections) is -49.707 eV/f.u.